#a
{
  "formula": "BaGaPCl2",
  "functional": "PBE",
  "state": "optimized geometry",
  "magnetic_moment_mub_per_fu": 0.191,
  "sg": "P4/mmm (123)",
  "cell": [[5.168, 0.000, 0.000], [0.000, 5.168, 0.000], [0.000, 0.000, 4.809]],
  "species": ["Cl", "Ga", "Ba", "P", "Cl"],
  "frac_coords": [[0.000, 0.500, 0.000], [0.000, 0.000, 0.000], [0.500, 0.500, 0.500], [0.000, 0.000, 0.500], [0.500, 0.000, 0.000]]
}


#b
{
  "formula": "BaGaPCl2",
  "functional": "PBE",
  "state": "optimized geometry",
  "magnetic_moment_mub_per_fu": 2.000,
  "sg": "P4/mmm (123)",
  "cell": [[5.928, 0.000, 0.000], [0.000, 5.928, 0.000], [0.000, 0.000, 6.410]],
  "species": ["Ba", "Cl", "Cl", "Ga", "P"],
  "frac_coords": [[0.000, 0.000, 0.000], [0.000, 0.500, 0.000], [0.500, 0.000, 0.000], [0.500, 0.500, 0.500], [0.000, 0.000, 0.500]]
}


The relative energies come out as #a 0.000; #b 0.496, with values in eV/atom.


#a
{
  "formula": "BaGaS2Cl",
  "functional": "PBE",
  "state": "optimized geometry",
  "magnetic_moment_mub_per_fu": 0.000,
  "sg": "P4/mmm (123)",
  "cell": [[4.858, 0.000, 0.000], [0.000, 4.858, 0.000], [0.000, 0.000, 5.096]],
  "species": ["Ga", "Cl", "Ba", "S", "S"],
  "frac_coords": [[0.000, 0.000, 0.000], [0.000, 0.000, 0.500], [0.500, 0.500, 0.500], [0.500, 0.000, 0.000], [0.000, 0.500, 0.000]]
}


#b
{
  "formula": "BaGaS2Cl",
  "functional": "PBE",
  "state": "optimized geometry",
  "magnetic_moment_mub_per_fu": 2.021,
  "sg": "P4/mmm (123)",
  "cell": [[-4.253, -1.257, 4.066], [4.247, -1.610, 3.945], [0.261, 5.607, 2.007]],
  "species": ["Ba", "Ga", "Cl", "S", "S"],
  "frac_coords": [[0.000, 0.000, 0.000], [0.500, 0.500, 0.500], [0.000, 0.000, 0.500], [0.500, 0.000, 0.000], [0.000, 0.500, 0.000]]
}


The relative energies come out as #a 0.000; #b 0.942, with values in eV/atom.


#a
{
  "formula": "Ba2GeCl",
  "functional": "PBE",
  "state": "optimized geometry",
  "magnetic_moment_mub_per_fu": 0.998,
  "sg": "I-42d (122)",
  "cell": [[-6.815, 1.665, -0.897], [0.441, -1.862, -6.808], [-5.221, -7.417, -1.983]],
  "species": ["Ba", "Ge", "Ba", "Ba", "Cl", "Ba", "Cl", "Ge"],
  "frac_coords": [[0.623, 0.125, 0.250], [0.750, 0.250, 0.500], [0.875, 0.873, 0.750], [0.375, 0.377, 0.750], [0.250, 0.750, 0.500], [0.127, 0.625, 0.250], [0.500, 0.500, 0.000], [0.000, 0.000, 0.000]]
}


#b
{
  "formula": "Ba2GeCl",
  "functional": "PBE",
  "state": "optimized geometry",
  "magnetic_moment_mub_per_fu": 1.000,
  "sg": "Fm-3m (225)",
  "cell": [[4.858, 2.314, 2.042], [-0.161, 3.400, 4.642], [2.188, -1.843, 4.994]],
  "species": ["Ba", "Ba", "Cl", "Ge"],
  "frac_coords": [[0.750, 0.750, 0.750], [0.250, 0.250, 0.250], [0.000, 0.000, 0.000], [0.500, 0.500, 0.500]]
}


#c
{
  "formula": "Ba2GeCl",
  "functional": "PBE",
  "state": "optimized geometry",
  "magnetic_moment_mub_per_fu": 0.000,
  "sg": "P2/c (13)",
  "cell": [[6.634, 0.000, 0.000], [0.000, 6.631, 0.257], [0.000, -0.547, 13.632]],
  "species": ["Ge", "Ge", "Ba", "Ba", "Ba", "Ba", "Ba", "Ge", "Ba", "Cl", "Cl", "Ge", "Cl", "Ba", "Ba", "Cl"],
  "frac_coords": [[0.252, 0.500, 0.125], [0.748, 0.500, 0.875], [0.248, 0.500, 0.876], [0.748, 0.000, 0.874], [0.252, 0.500, 0.374], [0.752, 0.500, 0.124], [0.248, 0.000, 0.624], [0.748, 0.000, 0.625], [0.252, 0.000, 0.126], [0.248, 0.501, 0.625], [0.752, 0.499, 0.375], [0.252, 0.000, 0.375], [0.248, 0.999, 0.875], [0.748, 0.500, 0.626], [0.752, 0.000, 0.376], [0.752, 0.001, 0.125]]
}


#d
{
  "formula": "Ba2GeCl",
  "functional": "PBE",
  "state": "optimized geometry",
  "magnetic_moment_mub_per_fu": 0.000,
  "sg": "P4/mmm (123)",
  "cell": [[-1.655, 2.397, 2.614], [-3.390, -1.917, -0.389], [2.279, -5.312, 6.315]],
  "species": ["Ge", "Cl", "Ba", "Ba"],
  "frac_coords": [[0.500, 0.500, 0.000], [0.500, 0.500, 0.500], [0.000, 0.000, 0.236], [0.000, 0.000, 0.764]]
}


The relative energies come out as #a 0.243; #b 0.167; #c 0.000; #d 0.038, with values in eV/atom.


#a
{
  "formula": "Ba2GeCl",
  "functional": "PBE",
  "state": "optimized geometry",
  "magnetic_moment_mub_per_fu": 0.000,
  "sg": "R-3m (166)",
  "cell": [[4.651, 0.000, 0.000], [2.325, 4.028, 0.000], [2.325, 1.343, 8.174]],
  "species": ["Ba", "Cl", "Ba", "Ge"],
  "frac_coords": [[0.747, 0.747, 0.759], [0.500, 0.500, 0.500], [0.253, 0.253, 0.241], [0.000, 0.000, 0.000]]
}


#b
{
  "formula": "Ba2GeCl",
  "functional": "PBE",
  "state": "optimized geometry",
  "magnetic_moment_mub_per_fu": 0.000,
  "sg": "R3m (160)",
  "cell": [[-4.146, 0.655, 1.763], [-2.454, -3.559, 1.429], [1.229, -0.208, 8.846]],
  "species": ["Ge", "Ba", "Ba", "Cl"],
  "frac_coords": [[0.667, 0.667, 0.998], [0.256, 0.256, 0.233], [0.079, 0.079, 0.762], [0.498, 0.498, 0.507]]
}


The relative energies come out as #a 0.000; #b 0.033, with values in eV/atom.


#a
{
  "formula": "Ba3GeCl",
  "functional": "PBE",
  "state": "optimized geometry",
  "magnetic_moment_mub_per_fu": 0.809,
  "sg": "C2/m (12)",
  "cell": [[-6.443, -5.688, -0.573], [2.436, 4.426, -6.976], [7.647, -4.672, 3.223]],
  "species": ["Ba", "Ba", "Ba", "Cl", "Cl", "Ba", "Ba", "Ba", "Ge", "Ge"],
  "frac_coords": [[0.554, 0.554, 0.262], [0.202, 0.848, 0.772], [0.446, 0.446, 0.738], [0.213, 0.213, 0.298], [0.787, 0.787, 0.702], [0.848, 0.202, 0.772], [0.798, 0.152, 0.228], [0.152, 0.798, 0.228], [0.335, 0.665, 0.000], [0.665, 0.335, 0.000]]
}


#b
{
  "formula": "Ba3GeCl",
  "functional": "PBE",
  "state": "optimized geometry",
  "magnetic_moment_mub_per_fu": 0.000,
  "sg": "Pm-3m (221)",
  "cell": [[5.915, 0.000, 0.000], [0.000, 5.915, 0.000], [0.000, 0.000, 5.915]],
  "species": ["Ba", "Cl", "Ba", "Ba", "Ge"],
  "frac_coords": [[0.000, 0.000, 0.500], [0.000, 0.000, 0.000], [0.500, 0.000, 0.000], [0.000, 0.500, 0.000], [0.500, 0.500, 0.500]]
}


#c
{
  "formula": "Ba3GeCl",
  "functional": "PBE",
  "state": "optimized geometry",
  "magnetic_moment_mub_per_fu": 0.679,
  "sg": "P2_1/m (11)",
  "cell": [[-0.852, 0.470, -4.621], [1.692, -8.760, -1.204], [-9.704, -0.255, 1.763]],
  "species": ["Ba", "Ba", "Ba", "Ba", "Ba", "Ge", "Cl", "Ba", "Ge", "Cl"],
  "frac_coords": [[0.250, 0.899, 0.694], [0.750, 0.290, 0.983], [0.250, 0.409, 0.641], [0.750, 0.101, 0.306], [0.750, 0.591, 0.359], [0.250, 0.342, 0.234], [0.250, 0.859, 0.365], [0.250, 0.710, 0.017], [0.750, 0.658, 0.766], [0.750, 0.141, 0.635]]
}


The relative energies come out as #a 0.048; #b 0.341; #c 0.000, with values in eV/atom.


#a
{
  "formula": "BaGe2Cl6",
  "functional": "PBE",
  "state": "optimized geometry",
  "magnetic_moment_mub_per_fu": 0.000,
  "sg": "R3 (146)",
  "cell": [[7.608, 0.000, 0.000], [3.804, 6.589, 0.000], [3.804, 2.196, 7.232]],
  "species": ["Ge", "Cl", "Cl", "Ge", "Cl", "Cl", "Cl", "Cl", "Ba"],
  "frac_coords": [[0.576, 0.576, 0.272], [0.694, 0.524, 0.741], [0.524, 0.041, 0.741], [0.702, 0.702, 0.895], [0.041, 0.694, 0.741], [0.616, 0.914, 0.203], [0.267, 0.616, 0.203], [0.914, 0.267, 0.203], [0.332, 0.332, 0.004]]
}


#b
{
  "formula": "BaGe2Cl6",
  "functional": "PBE",
  "state": "optimized geometry",
  "magnetic_moment_mub_per_fu": 0.000,
  "sg": "C2/m (12)",
  "cell": [[5.084, 0.000, 1.631], [2.203, 6.344, 1.872], [-0.072, -0.191, 8.966]],
  "species": ["Cl", "Cl", "Cl", "Cl", "Ge", "Cl", "Ge", "Ba", "Cl"],
  "frac_coords": [[0.972, 0.858, 0.198], [0.264, 0.293, 0.179], [0.736, 0.707, 0.821], [0.345, 0.761, 0.549], [0.803, 0.228, 0.167], [0.655, 0.239, 0.451], [0.197, 0.772, 0.833], [0.000, 0.500, 0.500], [0.028, 0.142, 0.802]]
}


The relative energies come out as #a 0.066; #b 0.000, with values in eV/atom.


#a
{
  "formula": "BaGeCl4",
  "functional": "PBE",
  "state": "optimized geometry",
  "magnetic_moment_mub_per_fu": 0.000,
  "sg": "P2_1/m (11)",
  "cell": [[-5.224, 2.660, 0.594], [1.997, -2.576, 7.791], [4.563, 8.588, 1.670]],
  "species": ["Cl", "Ge", "Ge", "Cl", "Cl", "Cl", "Cl", "Ba", "Ba", "Cl", "Cl", "Cl"],
  "frac_coords": [[0.413, 0.287, 0.250], [0.805, 0.090, 0.750], [0.195, 0.910, 0.250], [0.168, 0.025, 0.750], [0.587, 0.713, 0.750], [0.083, 0.697, 0.074], [0.832, 0.975, 0.250], [0.057, 0.633, 0.750], [0.943, 0.367, 0.250], [0.917, 0.303, 0.926], [0.917, 0.303, 0.574], [0.083, 0.697, 0.426]]
}


#b
{
  "formula": "BaGeCl4",
  "functional": "PBE",
  "state": "optimized geometry",
  "magnetic_moment_mub_per_fu": 0.000,
  "sg": "I4_1/amd (141)",
  "cell": [[7.918, -0.328, 2.612], [-4.230, 6.701, 2.612], [-0.190, -0.329, 8.335]],
  "species": ["Ba", "Cl", "Cl", "Ba", "Cl", "Ge", "Cl", "Cl", "Cl", "Ge", "Cl", "Cl"],
  "frac_coords": [[0.125, 0.375, 0.750], [0.389, 0.323, 0.434], [0.756, 0.322, 0.066], [0.875, 0.625, 0.250], [0.611, 0.677, 0.566], [0.375, 0.125, 0.250], [0.177, 0.111, 0.066], [0.823, 0.889, 0.934], [0.244, 0.677, 0.934], [0.625, 0.875, 0.750], [0.177, 0.744, 0.434], [0.823, 0.256, 0.566]]
}


The relative energies come out as #a 0.000; #b 0.041, with values in eV/atom.


#a
{
  "formula": "Ba2H2Cl",
  "functional": "PBE",
  "state": "optimized geometry",
  "magnetic_moment_mub_per_fu": 0.000,
  "sg": "P4/mbm (127)",
  "cell": [[7.806, 0.000, 0.000], [0.000, 7.806, 0.000], [0.000, 0.000, 3.615]],
  "species": ["Cl", "Ba", "H", "Cl", "H", "Ba", "H", "H", "Ba", "Ba"],
  "frac_coords": [[0.500, 0.500, 0.000], [0.672, 0.828, 0.500], [0.881, 0.619, 0.000], [0.000, 0.000, 0.000], [0.619, 0.119, 0.000], [0.172, 0.672, 0.500], [0.119, 0.381, 0.000], [0.381, 0.881, 0.000], [0.828, 0.328, 0.500], [0.328, 0.172, 0.500]]
}


#b
{
  "formula": "Ba2H2Cl",
  "functional": "PBE",
  "state": "optimized geometry",
  "magnetic_moment_mub_per_fu": 0.746,
  "sg": "I4/mmm (139)",
  "cell": [[-4.966, 1.042, -1.203], [-0.224, -4.359, -2.854], [-4.014, -4.060, 1.751]],
  "species": ["H", "Ba", "Cl", "H", "Ba"],
  "frac_coords": [[0.329, 0.329, 0.341], [0.750, 0.250, 0.500], [0.000, 0.000, 0.000], [0.671, 0.671, 0.659], [0.250, 0.750, 0.500]]
}


The relative energies come out as #a 0.000; #b 0.054, with values in eV/atom.


#a
{
  "formula": "BaH2Cl2",
  "functional": "PBE",
  "state": "optimized geometry",
  "magnetic_moment_mub_per_fu": 2.000,
  "sg": "P2_1/c (14)",
  "cell": [[-7.111, -2.891, -3.508], [3.340, -6.387, -1.507], [0.989, -9.266, 5.632]],
  "species": ["H", "Cl", "Ba", "H", "Cl", "Cl", "H", "H", "H", "Cl", "Cl", "Ba", "Cl", "Ba", "Cl", "Ba", "H", "H", "Cl", "H"],
  "frac_coords": [[0.602, 0.675, 0.970], [0.076, 0.679, 0.623], [0.751, 0.825, 0.175], [0.605, 0.387, 0.473], [0.576, 0.321, 0.877], [0.924, 0.321, 0.377], [0.898, 0.675, 0.470], [0.395, 0.613, 0.527], [0.398, 0.325, 0.030], [0.923, 0.927, 0.876], [0.423, 0.073, 0.624], [0.749, 0.825, 0.675], [0.424, 0.679, 0.123], [0.251, 0.175, 0.325], [0.077, 0.073, 0.124], [0.249, 0.175, 0.825], [0.102, 0.325, 0.530], [0.895, 0.387, 0.973], [0.577, 0.927, 0.376], [0.105, 0.613, 0.027]]
}


#b
{
  "formula": "BaH2Cl2",
  "functional": "PBE",
  "state": "optimized geometry",
  "magnetic_moment_mub_per_fu": 0.000,
  "sg": "C2/m (12)",
  "cell": [[-3.621, -2.399, -2.106], [-2.233, -3.579, 2.383], [-6.536, 2.287, 3.100]],
  "species": ["Cl", "Cl", "H", "Ba", "H"],
  "frac_coords": [[0.721, 0.754, 0.803], [0.279, 0.246, 0.197], [0.541, 0.407, 0.511], [0.000, 0.000, 0.000], [0.459, 0.593, 0.489]]
}


The relative energies come out as #a 0.901; #b 0.000, with values in eV/atom.


#a
{
  "formula": "BaHS2Cl",
  "functional": "PBE",
  "state": "optimized geometry",
  "magnetic_moment_mub_per_fu": 4.000,
  "sg": "P4/mmm (123)",
  "cell": [[6.463, 0.000, 0.000], [0.000, 6.463, 0.000], [0.000, 0.000, 5.988]],
  "species": ["S", "Cl", "H", "Ba", "S"],
  "frac_coords": [[0.500, 0.000, 0.000], [0.000, 0.000, 0.500], [0.500, 0.500, 0.500], [0.000, 0.000, 0.000], [0.000, 0.500, 0.000]]
}


#b
{
  "formula": "BaHS2Cl",
  "functional": "PBE",
  "state": "optimized geometry",
  "magnetic_moment_mub_per_fu": 0.000,
  "sg": "P4/mmm (123)",
  "cell": [[4.178, 0.000, 0.000], [0.000, 4.178, 0.000], [0.000, 0.000, 5.867]],
  "species": ["S", "Ba", "Cl", "H", "S"],
  "frac_coords": [[0.000, 0.500, 0.000], [0.500, 0.500, 0.500], [0.000, 0.000, 0.500], [0.000, 0.000, 0.000], [0.500, 0.000, 0.000]]
}


The relative energies come out as #a 0.823; #b 0.000, with values in eV/atom.


#a
{
  "formula": "BaHfCl3",
  "functional": "PBE",
  "state": "optimized geometry",
  "magnetic_moment_mub_per_fu": 0.000,
  "sg": "Pm-3m (221)",
  "cell": [[5.037, 0.000, 0.000], [0.000, 5.037, 0.000], [0.000, 0.000, 5.037]],
  "species": ["Ba", "Cl", "Cl", "Cl", "Hf"],
  "frac_coords": [[0.500, 0.500, 0.500], [0.500, 0.000, 0.000], [0.000, 0.500, 0.000], [0.000, 0.000, 0.500], [0.000, 0.000, 0.000]]
}


#b
{
  "formula": "BaHfCl3",
  "functional": "PBE",
  "state": "optimized geometry",
  "magnetic_moment_mub_per_fu": 1.000,
  "sg": "Pm-3m (221)",
  "cell": [[-4.617, -1.886, 3.299], [3.096, -4.877, 1.545], [2.204, 2.901, 4.743]],
  "species": ["Ba", "Cl", "Hf", "Cl", "Cl"],
  "frac_coords": [[0.000, 0.000, 0.000], [0.000, 0.000, 0.500], [0.500, 0.500, 0.500], [0.000, 0.500, 0.000], [0.500, 0.000, 0.000]]
}


The relative energies come out as #a 0.000; #b 0.643, with values in eV/atom.